{
  "formula": "InRuRh2",
  "functional": "GGA-PBE",
  "state": "relaxed",
  "n_ef_per_ev_cell": 5.0,
  "dft_energy_ry_per_atom": -0.4904,
  "lattice_angstrom": [[2.8315, -3.8335, 0.0000], [2.8315, 3.8335, 0.0000], [0.0000, 0.0000, 2.8506]],
  "species": ["In", "Ru", "Rh", "Rh"],
  "fractional_positions": [[0.0000, 0.0000, 0.0000], [0.5000, 0.5000, 0.0000], [0.0000, 0.5000, 0.5000], [0.5000, 0.0000, 0.5000]]
}

=====

{
  "formula": "InRuRh2",
  "functional": "GGA-PBE",
  "state": "relaxed",
  "n_ef_per_ev_cell": 4.0,
  "dft_energy_ry_per_atom": -0.4927,
  "lattice_angstrom": [[4.5905, -1.4238, 0.0000], [4.5905, 1.4238, 0.0000], [-0.9017, 0.0000, 4.7595]],
  "species": ["In", "Ru", "Rh", "Rh"],
  "fractional_positions": [[0.0000, 0.0000, 0.0000], [0.7568, 0.7568, 0.3001], [0.2456, 0.2456, 0.7589], [0.4973, 0.4973, 0.4940]]
}

=====

{
  "formula": "InRuRh2",
  "functional": "GGA-PBE",
  "state": "relaxed",
  "n_ef_per_ev_cell": 5.8,
  "dft_energy_ry_per_atom": -0.4819,
  "lattice_angstrom": [[-1.4418, 2.3339, 4.6882], [1.4418, -2.3339, 4.6882], [1.4418, 2.3339, -4.6882]],
  "species": ["In", "Ru", "Rh", "Rh"],
  "fractional_positions": [[0.0000, 0.0000, 0.0000], [0.7398, 0.2398, 0.5000], [0.2559, 0.7559, 0.5000], [0.5055, 0.5055, 0.0000]]
}

=====

{
  "formula": "In5RuRh4",
  "functional": "GGA-PBE",
  "state": "relaxed",
  "n_ef_per_ev_cell": 4.3,
  "dft_energy_ry_per_atom": -0.4096,
  "lattice_angstrom": [[3.2415, 0.0000, 0.0000], [0.0000, 3.2415, 0.0000], [0.0000, 0.0000, 16.0931]],
  "species": ["In", "In", "In", "In", "In", "Ru", "Rh", "Rh", "Rh", "Rh"],
  "fractional_positions": [[0.0000, 0.0000, 0.0000], [0.0000, 0.0000, 0.2010], [0.0000, 0.0000, 0.4021], [0.0000, 0.0000, 0.5979], [0.0000, 0.0000, 0.7990], [0.5000, 0.5000, 0.5000], [0.5000, 0.5000, 0.0997], [0.5000, 0.5000, 0.2988], [0.5000, 0.5000, 0.7012], [0.5000, 0.5000, 0.9003]]
}

=====

{
  "formula": "In4RuRh",
  "functional": "GGA-PBE",
  "state": "relaxed",
  "n_ef_per_ev_cell": 6.5,
  "dft_energy_ry_per_atom": -0.2828,
  "lattice_angstrom": [[0.0000, 3.9351, 3.9351], [3.9351, 0.0000, 3.9351], [3.9351, 3.9351, 0.0000]],
  "species": ["In", "In", "In", "In", "Ru", "Rh"],
  "fractional_positions": [[0.1250, 0.1250, 0.1250], [0.1250, 0.1250, 0.6251], [0.1250, 0.6251, 0.1250], [0.6251, 0.1250, 0.1250], [0.5000, 0.5000, 0.5000], [0.7500, 0.7500, 0.7500]]
}

=====

{
  "formula": "InRuRh2",
  "functional": "GGA-PBE",
  "state": "relaxed",
  "n_ef_per_ev_cell": 12.6,
  "dft_energy_ry_per_atom": -0.4590,
  "lattice_angstrom": [[-1.9470, 1.9470, 9.0542], [1.9470, -1.9470, 9.0542], [1.9470, 1.9470, -9.0542]],
  "species": ["In", "In", "Ru", "Ru", "Rh", "Rh", "Rh", "Rh"],
  "fractional_positions": [[0.0000, 0.0000, 0.0000], [0.7500, 0.2500, 0.5000], [0.2500, 0.7500, 0.5000], [0.5000, 0.5000, 0.0000], [0.1507, 0.6250, 0.0257], [0.3750, 0.4007, 0.5257], [0.5993, 0.1250, 0.9743], [0.8750, 0.8493, 0.4743]]
}

=====

{
  "formula": "InRuRh3",
  "functional": "GGA-PBE",
  "state": "relaxed",
  "de_polymorph_ev_per_fu": 0.00,
  "n_ef_per_ev_cell": 4.8,
  "dft_energy_ry_per_atom": -0.4251,
  "lattice_angstrom": [[4.6943, 0.0000, 0.0000], [0.0000, 4.6943, 0.0000], [0.0000, 0.0000, 4.6943]],
  "species": ["In", "Ru", "Rh", "Rh", "Rh"],
  "fractional_positions": [[0.0000, 0.0000, 0.0000], [0.5000, 0.5000, 0.5000], [0.0000, 0.5000, 0.5000], [0.5000, 0.0000, 0.5000], [0.5000, 0.5000, 0.0000]]
}

=====

{
  "formula": "InRuRh2",
  "functional": "GGA-PBE",
  "state": "relaxed",
  "n_ef_per_ev_cell": 4.9,
  "dft_energy_ry_per_atom": -0.4820,
  "lattice_angstrom": [[3.2588, 0.0000, 0.0000], [0.0000, 3.2588, 0.0000], [0.0000, 0.0000, 5.9566]],
  "species": ["In", "Ru", "Rh", "Rh"],
  "fractional_positions": [[0.0000, 0.0000, 0.0000], [0.5000, 0.5000, 0.7165], [0.0000, 0.0000, 0.5047], [0.5000, 0.5000, 0.2542]]
}

=====

{
  "formula": "InRuRh4",
  "functional": "GGA-PBE",
  "state": "relaxed",
  "n_ef_per_ev_cell": 8.2,
  "dft_energy_ry_per_atom": -0.4873,
  "lattice_angstrom": [[0.0000, 3.6405, 3.6405], [3.6405, 0.0000, 3.6405], [3.6405, 3.6405, 0.0000]],
  "species": ["In", "Ru", "Rh", "Rh", "Rh", "Rh"],
  "fractional_positions": [[0.0000, 0.0000, 0.0000], [0.7500, 0.7500, 0.7500], [0.3752, 0.3752, 0.3752], [0.3752, 0.3752, 0.8745], [0.3752, 0.8745, 0.3752], [0.8745, 0.3752, 0.3752]]
}

=====

{
  "formula": "InRu3Rh",
  "functional": "GGA-PBE",
  "state": "relaxed",
  "de_polymorph_ev_per_fu": 0.00,
  "n_ef_per_ev_cell": 9.9,
  "dft_energy_ry_per_atom": -0.4415,
  "lattice_angstrom": [[4.6885, 0.0000, 0.0000], [0.0000, 4.6885, 0.0000], [0.0000, 0.0000, 4.6885]],
  "species": ["In", "Ru", "Ru", "Ru", "Rh"],
  "fractional_positions": [[0.0000, 0.0000, 0.0000], [0.0000, 0.5000, 0.5000], [0.5000, 0.0000, 0.5000], [0.5000, 0.5000, 0.0000], [0.5000, 0.5000, 0.5000]]
}

=====

{
  "formula": "InRuRh2",
  "functional": "GGA-PBE",
  "state": "relaxed",
  "n_ef_per_ev_cell": 3.6,
  "dft_energy_ry_per_atom": -0.4948,
  "lattice_angstrom": [[2.8392, 0.0000, 0.0000], [0.0000, 2.8392, 0.0000], [0.0000, 0.0000, 7.6904]],
  "species": ["In", "Ru", "Rh", "Rh"],
  "fractional_positions": [[0.0000, 0.0000, 0.0000], [0.0000, 0.0000, 0.5000], [0.5000, 0.5000, 0.2672], [0.5000, 0.5000, 0.7328]]
}

=====

{
  "formula": "InRuRh2",
  "functional": "GGA-PBE",
  "state": "relaxed",
  "n_ef_per_ev_cell": 4.1,
  "dft_energy_ry_per_atom": -0.4905,
  "lattice_angstrom": [[2.8409, 0.0000, 0.0000], [0.0000, 4.5151, 0.0000], [0.0000, 0.0000, 4.8288]],
  "species": ["In", "Ru", "Rh", "Rh"],
  "fractional_positions": [[0.0000, 0.0000, 0.0000], [0.0000, 0.5000, 0.3587], [0.5000, 0.0000, 0.4978], [0.5000, 0.5000, 0.8379]]
}

=====

{
  "formula": "In3RuRh",
  "functional": "GGA-PBE",
  "state": "relaxed",
  "de_polymorph_ev_per_fu": 0.00,
  "n_ef_per_ev_cell": 3.4,
  "dft_energy_ry_per_atom": -0.3196,
  "lattice_angstrom": [[5.0226, 0.0000, 0.0000], [0.0000, 5.0226, 0.0000], [0.0000, 0.0000, 5.0226]],
  "species": ["In", "In", "In", "Ru", "Rh"],
  "fractional_positions": [[0.0000, 0.0000, 0.5000], [0.0000, 0.5000, 0.0000], [0.5000, 0.0000, 0.0000], [0.0000, 0.0000, 0.0000], [0.5000, 0.5000, 0.5000]]
}

=====

{
  "formula": "InRuRh2",
  "functional": "GGA-PBE",
  "state": "relaxed",
  "n_ef_per_ev_cell": 4.1,
  "dft_energy_ry_per_atom": -0.4932,
  "lattice_angstrom": [[2.8582, 0.0000, 0.0000], [0.0000, 3.8193, 0.0000], [-0.0077, 0.0000, 5.6934]],
  "species": ["In", "Ru", "Rh", "Rh"],
  "fractional_positions": [[0.0000, 0.0000, 0.0000], [0.0000, 0.0000, 0.5000], [0.4999, 0.5000, 0.2684], [0.5001, 0.5000, 0.7316]]
}